[1]
8
Lattice="-4.061 4.061 4.341 4.061 -4.061 4.341 4.061 4.061 -4.341" Properties=species:S:1:pos:R:3 comment="In2SeI | the Alexandria database | PBE | optimized geometry" e_above_lowest_polymorph_mev_per_atom=121 dos_at_fermi_per_ev_cell=5.17 sg="I-42d, No. 122" formation_energy_uncorrected_ev_per_atom=-0.275 pbc="T T T"
In 6.091 1.683 -1.085
In 1.683 2.030 1.085
In -2.030 2.378 3.255
In 2.378 2.030 5.426
Se 0.000 0.000 0.000
Se 0.000 4.061 2.170
I 4.061 0.000 2.170
I 0.000 0.000 4.341

=====

[2]
7
Lattice="4.157 0.000 0.000 -2.077 7.016 0.000 -0.010 -0.868 7.895" Properties=species:S:1:pos:R:3 comment="In3Se2I2 | the Alexandria database | PBE | optimized geometry" dos_at_fermi_per_ev_cell=1.53 sg="P-1, No. 2" formation_energy_uncorrected_ev_per_atom=-0.412 pbc="T T T"
In 0.000 0.000 0.000
In -0.010 2.779 6.186
In 2.080 3.369 1.709
Se 0.001 5.256 0.792
Se 2.069 0.892 7.103
I 0.000 1.364 2.972
I 2.071 4.784 4.923

=====

[3]
8
Lattice="4.401 0.000 0.000 0.000 5.551 0.000 0.044 0.038 11.565" Properties=species:S:1:pos:R:3 comment="In2SeI | the Alexandria database | PBE | optimized geometry" e_above_lowest_polymorph_mev_per_atom=0 dos_at_fermi_per_ev_cell=1.43 sg="P1, No. 1" formation_energy_uncorrected_ev_per_atom=-0.396 pbc="T T T"
In 0.000 0.000 0.000
In 0.018 2.783 3.370
In 2.218 2.797 8.317
In 2.221 5.558 4.948
Se 0.020 5.559 3.039
Se 2.220 2.783 5.279
I 2.216 2.790 0.500
I 4.416 5.559 7.818

=====

Which formula does entry 3 have? In2SeI